(1)
DFT (GGA-PBE) results for crystalline CdGePd at its relaxed geometry.

Lattice parameters (Å, degrees): 3.062 4.769 8.984 85.07 80.19 71.27
Positions (direct):
Cd  0.822  0.260  0.096
Cd  0.178  0.740  0.904
Ge  0.409  0.793  0.389
Ge  0.591  0.207  0.611
Pd  0.853  0.652  0.641
Pd  0.147  0.348  0.359

Spin magnetization   0.00 μB/f.u.
ΔH_f (0 K)   -0.194 eV/atom
DOS(E_F)   0.311 states/eV/atom

---

(2)
DFT (GGA-PBE) results for crystalline Sr2CuSi at its relaxed geometry.

Lattice parameters (Å, degrees): 5.439 3.683 5.438 90.00 90.00 90.00
Positions (direct):
Cu  0.000  0.625  0.377
Si  0.500  0.625  0.874
Sr  0.000  0.125  0.875
Sr  0.500  0.125  0.374

Spin magnetization   0.00 μB/f.u.
Formation energy from raw total energies   -0.115 eV per atom
DOS(E_F)   0.464 states/eV/atom

---

(3)
DFT (GGA-PBE) results for crystalline Mn7C5 at its relaxed geometry.

Lattice parameters (Å, degrees): 5.373 5.373 5.373 105.01 105.01 118.83
Site moments in Bohr magnetons follow the coordinates.
Positions (direct):
C  0.980  0.980  0.000  -0.06
C  0.684  0.266  0.000  -0.08
C  0.266  0.684  0.000  -0.08
C  0.684  0.684  0.418  -0.08
C  0.266  0.266  0.582  -0.08
Mn  0.338  0.338  0.000  2.30
Mn  0.485  0.985  0.500  0.68
Mn  0.985  0.485  0.500  0.68
Mn  0.753  0.994  0.241  0.10
Mn  0.753  0.512  0.759  0.10
Mn  0.512  0.753  0.759  0.10
Mn  0.994  0.753  0.241  0.10

Spin magnetization   3.70 μB/f.u.
ΔH_f (0 K)   0.832 eV/atom
DOS(E_F)   0.755 states/eV/atom

---

(4)
DFT (GGA-PBE) results for crystalline Rb4In3Hg16 at its relaxed geometry.

Lattice parameters (Å, degrees): 7.514 7.514 13.287 90.00 90.00 90.00
Positions (direct):
Rb  0.500  0.000  0.811
Rb  0.000  0.500  0.189
Rb  0.000  0.500  0.811
Rb  0.500  0.000  0.189
In  0.000  0.500  0.500
In  0.000  0.000  0.000
In  0.500  0.000  0.500
Hg  0.000  0.000  0.757
Hg  0.295  0.295  0.000
Hg  0.500  0.500  0.763
Hg  0.705  0.295  0.000
Hg  0.500  0.500  0.237
Hg  0.705  0.705  0.000
Hg  0.000  0.000  0.243
Hg  0.748  0.748  0.624
Hg  0.748  0.252  0.376
Hg  0.252  0.252  0.624
Hg  0.252  0.748  0.376
Hg  0.295  0.705  0.000
Hg  0.748  0.748  0.376
Hg  0.748  0.252  0.624
Hg  0.252  0.252  0.376
Hg  0.252  0.748  0.624

Spin magnetization   0.00 μB/f.u.
ΔH_f (0 K)   -0.130 eV/atom
DOS(E_F)   0.443 states/eV/atom